Record 1
A relaxed structure of Ac2La12Er5. Source: Alexandria via LeMat-Bulk, functional PBE.

a b c (Å): 11.8312 8.9436 9.7017
angles (deg): 69.97 90.00 131.41
Atoms (fractional coordinates):
La  0.8257  0.2210  0.5716
La  0.5741  0.6278  0.7972
La  0.4259  0.3722  0.2028
La  0.4260  0.8520  0.7765
La  0.3952  0.2210  0.5716
La  0.9463  0.3722  0.2028
La  0.8715  0.7431  0.9458
La  0.1743  0.7790  0.4284
La  0.1285  0.2569  0.0542
La  0.6048  0.7790  0.4284
La  0.0537  0.6278  0.7972
La  0.5740  0.1480  0.2235
Ac  0.7333  0.0000  0.0000
Ac  0.2667  0.0000  0.0000
Er  0.6952  0.3903  0.7555
Er  0.0000  0.0000  0.5000
Er  0.1887  0.3774  0.6664
Er  0.3048  0.6097  0.2445
Er  0.8113  0.6226  0.3336

Output
- density of states at the Fermi level (states/eV per cell) = 28.533
- space group = No. 12
- E_form (eV per atom) = 0.10
- raw total energy (eV per atom) = -4.642

Record 2
A relaxed structure of MnCoSb2I. Source: Alexandria via LeMat-Bulk, functional PBE.

a b c (Å): 4.8575 4.8575 5.6046
angles (deg): 90.00 90.00 90.00
Each line ends with the local moment (μB).
Atoms (fractional coordinates):
Co  0.0000  0.0000  0.0000  -0.66
Mn  0.5000  0.5000  0.5000  4.32
I  0.0000  0.0000  0.5000  -0.03
Sb  0.5000  0.0000  0.0000  -0.11
Sb  0.0000  0.5000  0.0000  -0.11

Output
- ΔE to the lowest computed polymorph (eV/atom) = 0.000
- density of states at the Fermi level (states/eV per cell) = 3.656
- ΔE_f (raw) (meV per atom) = 635.3
- space group = No. 123
- raw total energy (eV per atom) = -4.579

Question: The lowest density of states at the Fermi level belongs to which entry?
Answer: MnCoSb2I

Question: Among the records above, which one has the highest density of states at the Fermi level?
Answer: Ac2La12Er5